[1]
Compound: CsRuPb2O8
Source: Alexandria via LeMat-Bulk
Functional: PBE
Structure: relaxed

Output
As for the total magnetic moment: 0.109 μB per atom. Its total energy is -67.3 eV for the cell shown. For the uncorrected formation energy, the calculation gives -838 meV/atom. As for the density of states at the Fermi level: 0.4358 states/eV/atom.

abc: 5.4829 5.9010 7.4374
angles: 89.45 76.01 72.24
Space group P-1 (No. 2)
Symmetry-distinct sites (fractional):
Cs: 0.0000 0.0000 0.0000 (multiplicity 1)
Ru: 0.5000 0.0000 0.5000 (multiplicity 1)
Pb: 0.2791 0.5765 0.3666 (multiplicity 2)
O: 0.1171 0.4592 0.0115 (multiplicity 2)
O: 0.1714 0.2722 0.5377 (multiplicity 2)
O: 0.3282 0.7621 0.6158 (multiplicity 2)
O: 0.4540 0.9158 0.2769 (multiplicity 2)



[2]
Compound: CsPbS2O6
Source: Alexandria via LeMat-Bulk
Functional: PBE
Structure: relaxed

Output
As for the total magnetic moment: 0.102 μB per atom. Its total energy is -224.3 eV for the cell shown. For the uncorrected formation energy, the calculation gives -1351 meV/atom. As for the density of states at the Fermi level: 0.0663 states/eV/atom.

abc: 8.9305 11.3207 8.5182
angles: 90.00 115.24 90.00
Space group C2/c (No. 15)
Symmetry-distinct sites (fractional):
Cs: 0.0000 0.1663 0.2500 (multiplicity 4)
Pb: 0.0000 0.4093 0.7500 (multiplicity 4)
S: 0.1820 0.1224 0.7654 (multiplicity 8)
O: 0.1498 0.2467 0.6859 (multiplicity 8)
O: 0.1529 0.3750 0.0746 (multiplicity 8)
O: 0.1994 0.0386 0.6365 (multiplicity 8)



[3]
Compound: Cs3PbS2O8
Source: Alexandria via LeMat-Bulk
Functional: PBE
Structure: relaxed

Output
As for the total magnetic moment: 0.061 μB per atom. Its total energy is -76.1 eV for the cell shown. For the uncorrected formation energy, the calculation gives -1564 meV/atom. As for the density of states at the Fermi level: 0.0701 states/eV/atom.

abc: 6.6023 6.6023 8.0112
angles: 90.00 90.00 120.00
Space group P-3m1 (No. 164)
Symmetry-distinct sites (fractional):
Cs: 0.0000 0.0000 0.0000 (multiplicity 1)
Cs: 0.3333 0.6667 0.7087 (multiplicity 2)
Pb: 0.0000 0.0000 0.5000 (multiplicity 1)
S: 0.3333 0.6667 0.2638 (multiplicity 2)
O: 0.2094 0.4187 0.3277 (multiplicity 6)
O: 0.3333 0.6667 0.0788 (multiplicity 2)



[4]
Compound: Cs2Sb2PbO6
Source: Alexandria via LeMat-Bulk
Functional: PBE
Structure: relaxed

Output
As for the total magnetic moment: 0.000 μB per atom. Its total energy is -115.3 eV for the cell shown. For the uncorrected formation energy, the calculation gives -1296 meV/atom.

abc: 11.4935 6.6501 7.8982
angles: 90.00 121.85 90.00
Space group C2/m (No. 12)
Symmetry-distinct sites (fractional):
Cs: 0.2092 0.0000 0.1893 (multiplicity 4)
Sb: 0.0477 0.5000 0.2114 (multiplicity 4)
Pb: 0.0000 0.0000 0.5000 (multiplicity 2)
O: 0.0316 0.2620 0.7547 (multiplicity 8)
O: 0.2427 0.5000 0.3672 (multiplicity 4)



[5]
Compound: CsSbPbO4
Source: Alexandria via LeMat-Bulk
Functional: PBE
Structure: relaxed

Output
As for the total magnetic moment: 0.000 μB per atom. Its total energy is -76.1 eV for the cell shown. For the uncorrected formation energy, the calculation gives -1363 meV/atom. As for the density of states at the Fermi level: 0.0000 states/eV/atom.

abc: 7.0724 6.4033 8.3395
angles: 90.00 113.21 90.00
Space group P2_1/m (No. 11)
Symmetry-distinct sites (fractional):
Cs: 0.1981 0.2500 0.4700 (multiplicity 2)
Sb: 0.2157 0.7500 0.1845 (multiplicity 2)
Pb: 0.2985 0.2500 0.0189 (multiplicity 2)
O: 0.0124 0.7500 0.9483 (multiplicity 2)
O: 0.0626 0.7500 0.3259 (multiplicity 2)
O: 0.3965 0.5138 0.2236 (multiplicity 4)



[6]
Compound: Cs2Sb2PbO7
Source: Alexandria via LeMat-Bulk
Functional: PBE
Structure: relaxed

Output
As for the total magnetic moment: 0.000 μB per atom. Its total energy is -130.1 eV for the cell shown. For the uncorrected formation energy, the calculation gives -1391 meV/atom. As for the density of states at the Fermi level: 0.2067 states/eV/atom.

abc: 4.1084 4.1084 24.2290
angles: 90.00 90.00 90.00
Space group I4/mmm (No. 139)
Symmetry-distinct sites (fractional):
Cs: 0.0000 0.0000 0.1890 (multiplicity 4)
Sb: 0.0000 0.0000 0.4152 (multiplicity 4)
Pb: 0.0000 0.0000 0.0000 (multiplicity 2)
O: 0.0000 0.0000 0.3362 (multiplicity 4)
O: 0.0000 0.0000 0.5000 (multiplicity 2)
O: 0.0000 0.5000 0.0763 (multiplicity 8)



[7]
Compound: Cs2SbPbO4
Source: Alexandria via LeMat-Bulk
Functional: PBE
Structure: relaxed

Output
As for the total magnetic moment: 0.000 μB per atom. Its total energy is -79.6 eV for the cell shown. For the uncorrected formation energy, the calculation gives -1307 meV/atom. As for the density of states at the Fermi level: 0.4319 states/eV/atom.

abc: 6.4983 8.7851 6.8559
angles: 90.00 90.00 90.00
Space group Pmmn (No. 59, origin choice 2)
Symmetry-distinct sites (fractional):
Cs: 0.2500 0.0014 0.2417 (multiplicity 4)
Sb: 0.2500 0.7500 0.6936 (multiplicity 2)
Pb: 0.2500 0.2500 0.7068 (multiplicity 2)
O: 0.0142 0.7500 0.5089 (multiplicity 4)
O: 0.2500 0.5253 0.7735 (multiplicity 4)



[8]
Compound: Cs2ScPbO4
Source: Alexandria via LeMat-Bulk
Functional: PBE
Structure: relaxed

Output
As for the total magnetic moment: 0.000 μB per atom. Its total energy is -361.3 eV for the cell shown. For the uncorrected formation energy, the calculation gives -1698 meV/atom. As for the density of states at the Fermi level: 0.4546 states/eV/atom.

abc: 5.9297 13.6902 21.7894
angles: 90.00 90.00 90.00
Space group Fddd (No. 70, origin choice 2)
Symmetry-distinct sites (fractional):
Cs: 0.1250 0.1250 0.3014 (multiplicity 16)
Sc: 0.1250 0.1250 0.1250 (multiplicity 8)
Pb: 0.1250 0.1250 0.6250 (multiplicity 8)
O: 0.0933 0.2927 0.4220 (multiplicity 32)



[9]
Compound: Cs2Pb2Se2O
Source: Alexandria via LeMat-Bulk
Functional: PBE
Structure: relaxed

Output
As for the total magnetic moment: 0.000 μB per atom. Its total energy is -54.8 eV for the cell shown. For the uncorrected formation energy, the calculation gives -910 meV/atom.

abc: 13.8391 5.1961 8.2783
angles: 90.00 120.39 90.00
Space group C2/m (No. 12)
Symmetry-distinct sites (fractional):
Cs: 0.0542 0.0000 0.3108 (multiplicity 4)
Pb: 0.1818 0.5000 0.0828 (multiplicity 4)
Se: 0.1841 0.5000 0.7282 (multiplicity 4)
O: 0.0000 0.5000 0.0000 (multiplicity 2)



[10]
Compound: CsSiPbO4
Source: Alexandria via LeMat-Bulk
Functional: PBE
Structure: relaxed

Output
As for the total magnetic moment: 0.000 μB per atom. Its total energy is -85.8 eV for the cell shown. For the uncorrected formation energy, the calculation gives -1868 meV/atom. As for the density of states at the Fermi level: 0.4401 states/eV/atom.

abc: 5.8699 6.0097 8.0091
angles: 90.00 108.59 90.00
Space group P2_1/m (No. 11)
Symmetry-distinct sites (fractional):
Cs: 0.1945 0.2500 0.4382 (multiplicity 2)
Si: 0.2479 0.7500 0.1459 (multiplicity 2)
Pb: 0.2822 0.2500 0.9732 (multiplicity 2)
O: 0.0610 0.7500 0.9429 (multiplicity 2)
O: 0.0815 0.7500 0.2782 (multiplicity 2)
O: 0.4365 0.5333 0.1790 (multiplicity 4)



[11]
Compound: Cs2SiPbO4
Source: Alexandria via LeMat-Bulk
Functional: PBE
Structure: relaxed

Output
As for the total magnetic moment: 0.000 μB per atom. Its total energy is -357.6 eV for the cell shown. For the uncorrected formation energy, the calculation gives -1754 meV/atom. As for the density of states at the Fermi level: 0.0000 states/eV/atom.

abc: 5.8926 12.3775 24.0268
angles: 90.00 90.00 90.00
Space group Fddd (No. 70, origin choice 2)
Symmetry-distinct sites (fractional):
Cs: 0.1250 0.1250 0.3059 (multiplicity 16)
Si: 0.1250 0.1250 0.6250 (multiplicity 8)
Pb: 0.1250 0.1250 0.1250 (multiplicity 8)
O: 0.0410 0.2945 0.8368 (multiplicity 32)



[12]
Compound: Cs2Si2PbO6
Source: Alexandria via LeMat-Bulk
Functional: PBE
Structure: relaxed

Output
As for the total magnetic moment: 0.000 μB per atom. Its total energy is -136.1 eV for the cell shown. For the uncorrected formation energy, the calculation gives -2005 meV/atom. As for the density of states at the Fermi level: 0.0000 states/eV/atom.

abc: 10.8079 6.2431 7.6111
angles: 90.00 117.90 90.00
Space group C2/m (No. 12)
Symmetry-distinct sites (fractional):
Cs: 0.2082 0.0000 0.1259 (multiplicity 4)
Si: 0.0887 0.5000 0.2685 (multiplicity 4)
Pb: 0.0000 0.0000 0.5000 (multiplicity 2)
O: 0.0133 0.2794 0.2634 (multiplicity 8)
O: 0.2359 0.5000 0.2686 (multiplicity 4)



[13]
Compound: Cs2Sm2PbO6
Source: Alexandria via LeMat-Bulk
Functional: PBE
Structure: relaxed

Output
As for the total magnetic moment: 0.000 μB per atom. Its total energy is -136.1 eV for the cell shown. For the uncorrected formation energy, the calculation gives -2132 meV/atom. As for the density of states at the Fermi level: 0.0000 states/eV/atom.

abc: 6.1661 10.6710 7.3399
angles: 90.00 105.47 90.00
Space group C2/m (No. 12)
Symmetry-distinct sites (fractional):
Cs: 0.0000 0.1657 0.0000 (multiplicity 4)
Sm: 0.0000 0.3343 0.5000 (multiplicity 4)
Pb: 0.0000 0.0000 0.5000 (multiplicity 2)
O: 0.2102 0.1634 0.6607 (multiplicity 8)
O: 0.2382 0.5000 0.6603 (multiplicity 4)



[14]
Compound: Cs3SmPb2O6
Source: Alexandria via LeMat-Bulk
Functional: PBE
Structure: relaxed

Output
As for the total magnetic moment: 0.000 μB per atom. Its total energy is -62.8 eV for the cell shown. For the uncorrected formation energy, the calculation gives -1526 meV/atom. As for the density of states at the Fermi level: 0.3840 states/eV/atom.

abc: 6.6206 6.6206 7.9206
angles: 90.00 90.00 120.00
Space group P-3m1 (No. 164)
Symmetry-distinct sites (fractional):
Cs: 0.0000 0.0000 0.0000 (multiplicity 1)
Cs: 0.3333 0.6667 0.6683 (multiplicity 2)
Sm: 0.0000 0.0000 0.5000 (multiplicity 1)
Pb: 0.3333 0.6667 0.2168 (multiplicity 2)
O: 0.1642 0.3283 0.3253 (multiplicity 6)



[15]
Compound: CsSrPbO3
Source: Alexandria via LeMat-Bulk
Functional: PBE
Structure: relaxed

Output
As for the total magnetic moment: 0.000 μB per atom. Its total energy is -61.9 eV for the cell shown. For the uncorrected formation energy, the calculation gives -1642 meV/atom. As for the density of states at the Fermi level: 0.2086 states/eV/atom.

abc: 6.5582 4.1576 10.0144
angles: 90.00 90.22 90.00
Space group P2_1/m (No. 11)
Symmetry-distinct sites (fractional):
Cs: 0.2474 0.2500 0.1792 (multiplicity 2)
Sr: 0.2497 0.7500 0.5274 (multiplicity 2)
Pb: 0.2526 0.2500 0.7946 (multiplicity 2)
O: 0.0275 0.2500 0.6337 (multiplicity 2)
O: 0.2515 0.7500 0.8731 (multiplicity 2)
O: 0.4768 0.2500 0.6347 (multiplicity 2)



[16]
Compound: Cs2TaPbO4
Source: Alexandria via LeMat-Bulk
Functional: PBE
Structure: relaxed

Output
As for the total magnetic moment: 0.107 μB per atom. Its total energy is -104.7 eV for the cell shown. For the uncorrected formation energy, the calculation gives -1903 meV/atom. As for the density of states at the Fermi level: 0.1634 states/eV/atom.

abc: 7.0949 7.0949 7.8963
angles: 90.00 90.00 90.00
Space group I-4 (No. 82)
Symmetry-distinct sites (fractional):
Cs: 0.0000 0.0000 0.0000 (multiplicity 2)
Cs: 0.0000 0.5000 0.2500 (multiplicity 2)
Ta: 0.0000 0.5000 0.7500 (multiplicity 2)
Pb: 0.0000 0.0000 0.5000 (multiplicity 2)
O: 0.1209 0.3248 0.6082 (multiplicity 8)



[17]
Compound: Cs3Ta2PbO8
Source: Alexandria via LeMat-Bulk
Functional: PBE
Structure: relaxed

Output
As for the total magnetic moment: 0.000 μB per atom. Its total energy is -99.6 eV for the cell shown. For the uncorrected formation energy, the calculation gives -2137 meV/atom. As for the density of states at the Fermi level: 0.2752 states/eV/atom.

abc: 6.4584 6.4584 8.5039
angles: 90.00 90.00 120.00
Space group P-3m1 (No. 164)
Symmetry-distinct sites (fractional):
Cs: 0.0000 0.0000 0.0000 (multiplicity 1)
Cs: 0.3333 0.6667 0.7176 (multiplicity 2)
Ta: 0.3333 0.6667 0.2664 (multiplicity 2)
Pb: 0.0000 0.0000 0.5000 (multiplicity 1)
O: 0.1723 0.3445 0.3335 (multiplicity 6)
O: 0.3333 0.6667 0.0526 (multiplicity 2)



[18]
Compound: Cs2Ta2PbO7
Source: Alexandria via LeMat-Bulk
Functional: PBE
Structure: relaxed

Output
As for the total magnetic moment: 0.000 μB per atom. Its total energy is -183.7 eV for the cell shown. For the uncorrected formation energy, the calculation gives -2334 meV/atom. As for the density of states at the Fermi level: 0.0000 states/eV/atom.

abc: 4.0620 4.0620 24.7899
angles: 90.00 90.00 90.00
Space group I4/mmm (No. 139)
Symmetry-distinct sites (fractional):
Cs: 0.0000 0.0000 0.1880 (multiplicity 4)
Ta: 0.0000 0.0000 0.4143 (multiplicity 4)
Pb: 0.0000 0.0000 0.0000 (multiplicity 2)
O: 0.0000 0.0000 0.3389 (multiplicity 4)
O: 0.0000 0.0000 0.5000 (multiplicity 2)
O: 0.0000 0.5000 0.0794 (multiplicity 8)



[19]
Compound: Cs2TbPbO4
Source: Alexandria via LeMat-Bulk
Functional: PBE
Structure: relaxed

Output
As for the total magnetic moment: 0.111 μB per atom. Its total energy is -88.8 eV for the cell shown. For the uncorrected formation energy, the calculation gives -1817 meV/atom. As for the density of states at the Fermi level: 0.2945 states/eV/atom.

abc: 9.2117 9.4740 6.5160
angles: 90.00 134.96 90.00
Space group C2 (No. 5)
Symmetry-distinct sites (fractional):
Cs: 0.0000 0.0000 0.0000 (multiplicity 2)
Cs: 0.0000 0.2500 0.5000 (multiplicity 2)
Tb: 0.0000 0.4997 0.0000 (multiplicity 2)
Pb: 0.0000 0.7498 0.5000 (multiplicity 2)
O: 0.1394 0.6230 0.3823 (multiplicity 4)
O: 0.2427 0.3762 0.1031 (multiplicity 4)



[20]
Compound: CsTbPbO3
Source: Alexandria via LeMat-Bulk
Functional: PBE
Structure: relaxed

Output
As for the total magnetic moment: 0.000 μB per atom. Its total energy is -74.0 eV for the cell shown. For the uncorrected formation energy, the calculation gives -2156 meV/atom. As for the density of states at the Fermi level: 0.0000 states/eV/atom.

abc: 7.5226 3.5855 10.2606
angles: 90.00 95.02 90.00
Space group P2_1/m (No. 11)
Symmetry-distinct sites (fractional):
Cs: 0.1233 0.2500 0.1898 (multiplicity 2)
Tb: 0.4092 0.2500 0.8678 (multiplicity 2)
Pb: 0.2747 0.7500 0.5870 (multiplicity 2)
O: 0.1686 0.2500 0.6996 (multiplicity 2)
O: 0.3345 0.7500 0.9955 (multiplicity 2)
O: 0.4957 0.7500 0.7404 (multiplicity 2)